1.
# AlHgTe2

A relaxed AlHgTe2 crystal (GGA-PBE, Alexandria via LeMat-Bulk).

Unit cell a=6.781 b=6.781 c=3.084 alpha=90.00 beta=90.00 gamma=126.15
Sites, in units of the cell vectors:
Hg 0.000 0.500 0.500
Te 0.500 0.500 0.000
Te 0.000 0.000 0.000
Al 0.500 0.000 0.500

## Properties
Raw formation energy   211 meV per atom
DOS(E_F)   0.526 states/eV/atom
Total magnetic moment   0.00 μB/f.u.
Total energy   -2.371 eV/atom

---

2.
# AlHg2Te

A relaxed AlHg2Te crystal (GGA-PBE, Alexandria via LeMat-Bulk).

Unit cell a=8.412 b=8.412 c=8.412 alpha=27.78 beta=27.78 gamma=27.78
Sites, in units of the cell vectors:
Te 0.478 0.478 0.478
Hg 0.256 0.256 0.256
Al 0.752 0.752 0.752
Hg 0.014 0.014 0.014

## Properties
E above lowest polymorph   0 meV/atom
Raw formation energy   -108 meV per atom
DOS(E_F)   0.484 states/eV/atom
Total magnetic moment   0.00 μB/f.u.
Total energy   -1.980 eV/atom

---

3.
# AlHg4Te

A relaxed AlHg4Te crystal (GGA-PBE, Alexandria via LeMat-Bulk).

Unit cell a=6.171 b=6.171 c=6.171 alpha=60.00 beta=60.00 gamma=60.00
Sites, in units of the cell vectors:
Te 0.750 0.750 0.750
Hg 0.375 0.375 0.875
Al 0.000 0.000 0.000
Hg 0.375 0.875 0.375
Hg 0.875 0.375 0.375
Hg 0.375 0.375 0.375

## Properties
Raw formation energy   307 meV per atom
DOS(E_F)   0.830 states/eV/atom
Total magnetic moment   0.00 μB/f.u.
Total energy   -1.041 eV/atom

---

4.
# AlHgTe

A relaxed AlHgTe crystal (GGA-PBE, Alexandria via LeMat-Bulk).

Unit cell a=5.340 b=5.340 c=3.096 alpha=90.00 beta=90.00 gamma=120.00
Sites, in units of the cell vectors:
Hg 0.667 0.333 0.333
Al 0.000 0.000 0.832
Te 0.333 0.667 0.834

## Properties
E above lowest polymorph   375 meV/atom
Raw formation energy   163 meV per atom
DOS(E_F)   0.685 states/eV/atom
Total magnetic moment   0.00 μB/f.u.
Total energy   -2.233 eV/atom

---

5.
# AlHgTe2

A relaxed AlHgTe2 crystal (GGA-PBE, Alexandria via LeMat-Bulk).

Unit cell a=3.761 b=4.960 c=5.879 alpha=90.00 beta=90.00 gamma=90.00
Sites, in units of the cell vectors:
Hg 0.000 0.500 0.500
Al 0.500 0.000 0.500
Te 0.500 0.500 0.000
Te 0.000 0.000 0.000

## Properties
Raw formation energy   192 meV per atom
DOS(E_F)   0.371 states/eV/atom
Total magnetic moment   0.00 μB/f.u.
Total energy   -2.390 eV/atom

---

6.
# AlHg2Te

A relaxed AlHg2Te crystal (GGA-PBE, Alexandria via LeMat-Bulk).

Unit cell a=3.547 b=3.646 c=8.852 alpha=90.00 beta=90.00 gamma=90.00
Sites, in units of the cell vectors:
Hg 0.500 0.500 0.231
Al 0.500 0.500 0.727
Hg 0.000 0.000 0.969
Te 0.000 0.000 0.573

## Properties
E above lowest polymorph   174 meV/atom
Raw formation energy   66 meV per atom
DOS(E_F)   0.285 states/eV/atom
Total magnetic moment   0.00 μB/f.u.
Total energy   -1.806 eV/atom

---

7.
# Al4HgTe7

A relaxed Al4HgTe7 crystal (GGA-PBE, Alexandria via LeMat-Bulk).

Unit cell a=7.091 b=7.422 c=17.398 alpha=90.00 beta=90.00 gamma=90.00
Sites, in units of the cell vectors:
Te 0.437 0.312 0.384
Hg 0.977 0.840 0.500
Al 0.545 0.170 0.256
Te 0.906 0.650 0.637
Te 0.927 0.173 0.247
Te 0.927 0.173 0.753
Te 0.427 0.827 0.253
Al 0.045 0.830 0.244
Te 0.437 0.312 0.616
Te 0.906 0.650 0.363
Al 0.575 0.674 0.127
Te 0.396 0.791 0.000
Te 0.937 0.688 0.116
Te 0.406 0.350 0.863
Te 0.427 0.827 0.747
Al 0.075 0.326 0.627
Te 0.896 0.209 0.500
Al 0.545 0.170 0.744
Al 0.575 0.674 0.873
Te 0.937 0.688 0.884
Al 0.075 0.326 0.373
Hg 0.477 0.160 0.000
Al 0.045 0.830 0.756
Te 0.406 0.350 0.137

## Properties
Raw formation energy   -364 meV per atom
Total magnetic moment   0.00 μB/f.u.
Total energy   -3.470 eV/atom

---

8.
# AlHgTe3

A relaxed AlHgTe3 crystal (GGA-PBE, Alexandria via LeMat-Bulk).

Unit cell a=5.395 b=5.395 c=5.395 alpha=90.00 beta=90.00 gamma=90.00
Sites, in units of the cell vectors:
Te 0.000 0.000 0.500
Te 0.500 0.000 0.000
Al 0.000 0.000 0.000
Hg 0.500 0.500 0.500
Te 0.000 0.500 0.000

## Properties
E above lowest polymorph   374 meV/atom
Raw formation energy   225 meV per atom
DOS(E_F)   1.224 states/eV/atom
Total magnetic moment   0.00 μB/f.u.
Total energy   -2.469 eV/atom